Entry 1:
Density functional theory data (PBE-GGA) for an optimized crystal structure of HgAsCl4.

total magnetization: 2.81 μB per formula unit
SG: F-43m, No. 216
N(E_F): 6.43 states/eV/f.u.
crystal system: cubic
final energy: -1.318 eV/atom

The structure in POSCAR format:
```
HgAsCl4
1.0
0.000 4.193 4.193
4.193 0.000 4.193
4.193 4.193 0.000
Hg As Cl
1 1 4
Cartesian
0.000 0.000 0.000 Hg
6.289 6.289 6.289 As
3.151 3.151 3.151 Cl
5.235 5.235 3.151 Cl
5.235 3.151 5.235 Cl
3.151 5.235 5.235 Cl
```


Entry 2:
Density functional theory data (PBE-GGA) for an optimized crystal structure of HgAs2Cl.

total magnetization: 0.00 μB per formula unit
SG: P4/mmm, No. 123
N(E_F): 2.17 states/eV/f.u.
crystal system: tetragonal
final energy: -2.626 eV/atom

The structure in POSCAR format:
```
HgAs2Cl
1.0
3.808 0.000 0.000
0.000 3.808 0.000
0.000 0.000 7.526
Hg As Cl
1 2 1
Cartesian
0.000 0.000 0.000 Hg
0.000 1.904 3.763 As
1.904 0.000 3.763 As
1.904 1.904 0.000 Cl
```


Entry 3:
Density functional theory data (PBE-GGA) for an optimized crystal structure of Hg5AsCl2.

total magnetization: 0.00 μB per formula unit
SG: I4mm, No. 107
N(E_F): 2.74 states/eV/f.u.
crystal system: tetragonal
final energy: -1.362 eV/atom

The structure in POSCAR format:
```
Hg5AsCl2
1.0
-3.501 3.501 4.664
3.501 -3.501 4.664
3.501 3.501 -4.664
Hg As Cl
5 1 2
Cartesian
0.000 0.000 0.000 Hg
1.572 1.572 1.981 Hg
1.928 -1.928 6.645 Hg
-1.928 1.928 6.645 Hg
1.928 1.928 6.645 Hg
0.000 0.000 6.747 As
3.501 0.000 4.060 Cl
0.000 3.501 4.060 Cl
```


Entry 4:
Density functional theory data (PBE-GGA) for an optimized crystal structure of HgAsCl2.

total magnetization: 0.00 μB per formula unit
SG: Fm-3m, No. 225
N(E_F): 3.78 states/eV/f.u.
crystal system: cubic
final energy: -1.820 eV/atom

The structure in POSCAR format:
```
HgAsCl2
1.0
0.000 3.555 3.555
3.555 0.000 3.555
3.555 3.555 0.000
Hg As Cl
1 1 2
Cartesian
0.000 0.000 0.000 Hg
3.555 3.555 3.555 As
1.777 1.777 1.777 Cl
5.332 5.332 5.332 Cl
```


Entry 5:
Density functional theory data (PBE-GGA) for an optimized crystal structure of Hg2AsCl.

total magnetization: 0.00 μB per formula unit
SG: Fm-3m, No. 225
N(E_F): 1.54 states/eV/f.u.
crystal system: cubic
final energy: -1.545 eV/atom

The structure in POSCAR format:
```
Hg2AsCl
1.0
0.000 3.588 3.588
3.588 0.000 3.588
3.588 3.588 0.000
Hg As Cl
2 1 1
Cartesian
1.794 1.794 1.794 Hg
5.383 5.383 5.383 Hg
0.000 0.000 0.000 As
3.588 3.588 3.588 Cl
```


Entry 6:
Density functional theory data (PBE-GGA) for an optimized crystal structure of HgAs4Cl2.

total magnetization: 0.94 μB per formula unit
SG: I4/mmm, No. 139
N(E_F): 6.09 states/eV/f.u.
crystal system: tetragonal
final energy: -2.616 eV/atom

The structure in POSCAR format:
```
HgAs4Cl2
1.0
-2.490 2.490 11.247
2.490 -2.490 11.247
2.490 2.490 -11.247
Hg As Cl
1 4 2
Cartesian
0.000 0.000 0.000 Hg
2.490 0.000 0.000 As
0.000 0.000 5.759 As
0.000 2.490 0.000 As
0.000 0.000 16.735 As
0.000 0.000 7.941 Cl
0.000 0.000 14.553 Cl
```


Entry 7:
Density functional theory data (PBE-GGA) for an optimized crystal structure of Hg3AsCl2.

total magnetization: 0.00 μB per formula unit
SG: C2/c, No. 15
N(E_F): 1.28 states/eV/f.u.
crystal system: monoclinic
final energy: -1.787 eV/atom

The structure in POSCAR format:
```
Hg3AsCl2
1.0
6.109 -3.952 0.000
6.109 3.952 0.000
-1.710 0.000 8.298
Hg As Cl
6 2 4
Cartesian
4.827 2.745 6.223 Hg
2.640 0.154 7.957 Hg
3.495 -0.154 3.808 Hg
7.013 0.154 4.490 Hg
7.868 -0.154 0.341 Hg
5.682 -2.745 2.074 Hg
4.827 0.200 6.223 As
5.682 -0.200 2.074 As
-0.006 0.631 7.615 Cl
0.849 -0.631 3.466 Cl
9.659 0.631 4.832 Cl
10.514 -0.631 0.683 Cl
```


Entry 8:
Density functional theory data (PBE-GGA) for an optimized crystal structure of HgAsCl2.

total magnetization: 0.00 μB per formula unit
SG: Immm, No. 71
N(E_F): 2.40 states/eV/f.u.
crystal system: orthorhombic
final energy: -2.357 eV/atom

The structure in POSCAR format:
```
HgAsCl2
1.0
-1.756 2.900 5.827
1.756 -2.900 5.827
1.756 2.900 -5.827
Hg As Cl
1 1 2
Cartesian
0.000 0.000 0.000 Hg
0.000 0.000 5.827 As
1.756 0.000 3.997 Cl
0.000 2.900 1.830 Cl
```


Entry 9:
Density functional theory data (PBE-GGA) for an optimized crystal structure of Hg2AsCl.

total magnetization: 0.00 μB per formula unit
SG: Pna2_1, No. 33
N(E_F): 0.00 states/eV/f.u.
crystal system: orthorhombic
final energy: -2.027 eV/atom

The structure in POSCAR format:
```
Hg2AsCl
1.0
8.143 0.000 0.000
0.000 8.690 0.000
0.000 0.000 7.411
Hg As Cl
8 4 4
Cartesian
8.142 8.690 0.000 Hg
0.001 0.000 3.705 Hg
0.479 3.277 1.850 Hg
3.593 7.623 5.555 Hg
4.071 4.346 0.000 Hg
4.072 4.345 3.705 Hg
4.550 1.068 1.850 Hg
7.664 5.413 5.555 Hg
1.482 0.967 1.852 As
2.589 5.313 5.557 As
5.554 3.378 1.852 As
6.661 7.723 5.557 As
0.393 5.722 1.840 Cl
3.678 1.377 5.545 Cl
4.464 7.313 1.840 Cl
7.750 2.968 5.545 Cl
```


Entry 10:
Density functional theory data (PBE-GGA) for an optimized crystal structure of HgAsCl2.

total magnetization: 0.00 μB per formula unit
SG: P4mm, No. 99
N(E_F): 1.22 states/eV/f.u.
crystal system: tetragonal
final energy: -2.100 eV/atom

The structure in POSCAR format:
```
HgAsCl2
1.0
3.372 0.000 0.000
0.000 3.372 0.000
0.000 0.000 8.523
Hg As Cl
1 1 2
Cartesian
0.000 0.000 0.000 Hg
1.686 1.686 1.945 As
0.000 0.000 3.532 Cl
1.686 1.686 6.898 Cl
```


Entry 11:
Density functional theory data (PBE-GGA) for an optimized crystal structure of Hg2AsCl.

total magnetization: 0.00 μB per formula unit
SG: P4mm, No. 99
N(E_F): 1.51 states/eV/f.u.
crystal system: tetragonal
final energy: -1.828 eV/atom

The structure in POSCAR format:
```
Hg2AsCl
1.0
4.137 0.000 0.000
0.000 4.137 0.000
0.000 0.000 5.719
Hg As Cl
2 1 1
Cartesian
0.000 0.000 0.000 Hg
2.069 2.069 2.848 Hg
0.000 0.000 2.853 As
2.069 2.069 5.705 Cl
```


Entry 12:
Density functional theory data (PBE-GGA) for an optimized crystal structure of HgAsCl2.

total magnetization: 0.00 μB per formula unit
SG: Pmm2, No. 25
N(E_F): 1.98 states/eV/f.u.
crystal system: orthorhombic
final energy: -2.224 eV/atom

The structure in POSCAR format:
```
HgAsCl2
1.0
3.302 0.000 0.000
0.000 5.858 0.000
0.000 0.000 5.204
Hg As Cl
1 1 2
Cartesian
0.000 0.000 0.000 Hg
1.651 2.929 5.131 As
0.000 0.000 2.598 Cl
1.651 2.929 2.983 Cl
```


Entry 13:
Density functional theory data (PBE-GGA) for an optimized crystal structure of HgAs2Cl.

total magnetization: 0.00 μB per formula unit
SG: C2/m, No. 12
N(E_F): 2.22 states/eV/f.u.
crystal system: monoclinic
final energy: -2.959 eV/atom

The structure in POSCAR format:
```
HgAs2Cl
1.0
6.021 -1.857 0.000
6.021 1.857 0.000
-0.548 0.000 4.571
Hg As Cl
1 2 1
Cartesian
0.000 0.000 0.000 Hg
2.587 0.000 0.688 As
8.906 0.000 3.883 As
5.746 0.000 2.286 Cl
```


Entry 14:
Density functional theory data (PBE-GGA) for an optimized crystal structure of HgAsCl.

total magnetization: 0.00 μB per formula unit
SG: P1, No. 1
N(E_F): 0.00 states/eV/f.u.
crystal system: triclinic
final energy: -2.588 eV/atom

The structure in POSCAR format:
```
HgAsCl
1.0
3.694 0.000 0.000
0.047 6.450 0.000
0.021 1.516 7.736
Hg As Cl
2 2 2
Cartesian
0.000 0.000 0.000 Hg
1.871 3.248 2.504 Hg
1.806 3.239 5.060 As
3.653 1.525 5.180 As
1.845 6.438 1.940 Cl
3.665 3.255 0.564 Cl
```


Entry 15:
Density functional theory data (PBE-GGA) for an optimized crystal structure of HgAsCl2.

total magnetization: 0.00 μB per formula unit
SG: Pm, No. 6
N(E_F): 1.54 states/eV/f.u.
crystal system: monoclinic
final energy: -2.278 eV/atom

The structure in POSCAR format:
```
HgAsCl2
1.0
5.431 0.000 0.000
0.000 3.775 0.000
-1.929 0.000 5.090
Hg As Cl
1 1 2
Cartesian
0.000 0.000 0.000 Hg
-0.270 1.888 3.936 As
1.148 0.000 2.956 Cl
3.753 1.888 1.154 Cl
```


Entry 16:
Density functional theory data (PBE-GGA) for an optimized crystal structure of HgAs2Cl.

total magnetization: 0.00 μB per formula unit
SG: Immm, No. 71
N(E_F): 1.54 states/eV/f.u.
crystal system: orthorhombic
final energy: -2.608 eV/atom

The structure in POSCAR format:
```
HgAs2Cl
1.0
-1.610 2.429 5.656
1.610 -2.429 5.656
1.610 2.429 -5.656
Hg As Cl
1 2 1
Cartesian
0.000 0.000 0.000 Hg
1.610 0.000 2.400 As
0.000 2.429 3.255 As
0.000 0.000 5.656 Cl
```


Entry 17:
Density functional theory data (PBE-GGA) for an optimized crystal structure of HgAs2Cl.

total magnetization: 0.00 μB per formula unit
SG: Fmmm, No. 69
N(E_F): 2.04 states/eV/f.u.
crystal system: orthorhombic
final energy: -2.603 eV/atom

The structure in POSCAR format:
```
HgAs2Cl
1.0
0.000 3.092 5.165
2.845 0.000 5.165
2.845 3.092 0.000
Hg As Cl
1 2 1
Cartesian
0.000 0.000 0.000 Hg
2.845 1.546 2.583 As
0.000 1.546 2.583 As
2.845 3.092 5.165 Cl
```


Entry 18:
Density functional theory data (PBE-GGA) for an optimized crystal structure of Hg2AsCl.

total magnetization: 0.00 μB per formula unit
SG: P2_1/m, No. 11
N(E_F): 0.17 states/eV/f.u.
crystal system: monoclinic
final energy: -2.041 eV/atom

The structure in POSCAR format:
```
Hg2AsCl
1.0
4.739 0.000 0.000
0.000 7.594 0.000
-0.070 0.000 6.982
Hg As Cl
4 2 2
Cartesian
0.000 0.000 0.000 Hg
0.000 3.797 0.000 Hg
2.252 1.898 4.232 Hg
2.417 5.695 2.750 Hg
0.038 5.695 1.694 As
4.631 1.898 5.287 As
2.298 5.695 5.357 Cl
2.371 1.898 1.624 Cl
```


Entry 19:
Density functional theory data (PBE-GGA) for an optimized crystal structure of HgAsCl.

total magnetization: 0.00 μB per formula unit
SG: P-1, No. 2
crystal system: triclinic
final energy: -2.611 eV/atom

The structure in POSCAR format:
```
HgAsCl
1.0
3.753 0.000 0.000
0.005 5.484 0.000
0.009 1.586 8.286
Hg As Cl
2 2 2
Cartesian
0.938 2.171 2.695 Hg
2.828 4.899 5.590 Hg
0.940 1.904 0.168 As
2.825 5.166 8.118 As
0.941 2.183 5.155 Cl
2.825 4.887 3.131 Cl
```


Entry 20:
Density functional theory data (PBE-GGA) for an optimized crystal structure of Hg2AsCl.

total magnetization: 0.00 μB per formula unit
SG: Imm2, No. 44
N(E_F): 1.85 states/eV/f.u.
crystal system: orthorhombic
final energy: -1.643 eV/atom

The structure in POSCAR format:
```
Hg2AsCl
1.0
-1.759 3.074 4.641
1.759 -3.074 4.641
1.759 3.074 -4.641
Hg As Cl
2 1 1
Cartesian
0.000 0.000 0.000 Hg
0.000 3.074 2.248 Hg
1.759 0.000 2.133 As
0.000 0.000 4.126 Cl
```